Compound: CsNa2HgOs
Source: Alexandria
Functional: GGA-PBE
Structure: relaxed

Output
As for the space group: P4/mmm, No. 123. For the energy of formation from the pure elements, the calculation gives 4.11 eV per formula unit. The value obtained for the density of states at the Fermi level is 2.73 states/eV per cell.

Lattice parameters (Å, degrees): 5.661 5.661 5.197 90.00 90.00 90.00
Sites, in units of the cell vectors:
Cs 0.000 0.000 0.000
Na 0.000 0.500 0.500
Na 0.500 0.000 0.500
Hg 0.500 0.500 0.500
Os 0.500 0.500 0.000

Compound: CsNa2HgP
Source: Alexandria
Functional: GGA-PBE
Structure: relaxed

Output
Its distance to the lowest polymorph of the same formula is 37 meV per atom. As for the space group: P4/mmm, No. 123. For the energy of formation from the pure elements, the calculation gives -0.60 eV per formula unit. The value obtained for the density of states at the Fermi level is 2.22 states/eV per cell.

Lattice parameters (Å, degrees): 5.607 5.607 5.569 90.00 90.00 90.00
Sites, in units of the cell vectors:
Cs 0.000 0.000 0.000
Na 0.000 0.500 0.500
Na 0.500 0.000 0.500
Hg 0.500 0.500 0.000
P 0.500 0.500 0.500

Compound: CsNa2HgP
Source: Alexandria
Functional: GGA-PBE
Structure: relaxed

Output
Its distance to the lowest polymorph of the same formula is 0 meV per atom. As for the space group: P4/mmm, No. 123. For the energy of formation from the pure elements, the calculation gives -0.79 eV per formula unit. The value obtained for the density of states at the Fermi level is 1.10 states/eV per cell.

Lattice parameters (Å, degrees): 5.530 5.530 7.028 90.00 90.00 90.00
Sites, in units of the cell vectors:
Cs 0.000 0.000 0.000
Na 0.000 0.500 0.500
Na 0.500 0.000 0.500
Hg 0.500 0.500 0.000
P 0.000 0.000 0.500

Compound: CsNaHg2Pb
Source: Alexandria
Functional: GGA-PBE
Structure: relaxed

Output
As for the space group: P4/mmm, No. 123. For the energy of formation from the pure elements, the calculation gives -0.50 eV per formula unit. The value obtained for the density of states at the Fermi level is 3.72 states/eV per cell.

Lattice parameters (Å, degrees): 6.150 6.150 5.944 90.00 90.00 90.00
Sites, in units of the cell vectors:
Cs 0.000 0.000 0.000
Na 0.500 0.500 0.000
Hg 0.000 0.500 0.500
Hg 0.500 0.000 0.500
Pb 0.500 0.500 0.500

Compound: Cs2Na6HgPb
Source: Alexandria
Functional: GGA-PBE
Structure: relaxed

Output
As for the space group: Fm-3m, No. 225. For the energy of formation from the pure elements, the calculation gives -0.56 eV per formula unit. The value obtained for the density of states at the Fermi level is 8.05 states/eV per cell.

Lattice parameters (Å, degrees): 8.716 8.716 8.716 60.00 60.00 60.00
Sites, in units of the cell vectors:
Cs 0.250 0.250 0.250
Cs 0.750 0.750 0.750
Na 0.246 0.246 0.754
Na 0.246 0.754 0.246
Na 0.246 0.754 0.754
Na 0.754 0.246 0.246
Na 0.754 0.246 0.754
Na 0.754 0.754 0.246
Hg 0.000 0.000 0.000
Pb 0.500 0.500 0.500

Compound: CsNa2Hg4Pb
Source: Alexandria
Functional: GGA-PBE
Structure: relaxed

Output
As for the space group: R-3m, No. 166. For the energy of formation from the pure elements, the calculation gives -1.53 eV per formula unit. The value obtained for the density of states at the Fermi level is 4.19 states/eV per cell.

Lattice parameters (Å, degrees): 11.805 11.805 11.805 25.67 25.67 25.67
Sites, in units of the cell vectors:
Cs 0.000 0.000 0.000
Na 0.221 0.221 0.221
Na 0.779 0.779 0.779
Hg 0.123 0.123 0.123
Hg 0.404 0.404 0.404
Hg 0.596 0.596 0.596
Hg 0.877 0.877 0.877
Pb 0.500 0.500 0.500

Compound: CsNaHg4Pb2
Source: Alexandria
Functional: GGA-PBE
Structure: relaxed

Output
As for the space group: R-3m, No. 166. For the energy of formation from the pure elements, the calculation gives -1.19 eV per formula unit. The value obtained for the density of states at the Fermi level is 2.20 states/eV per cell.

Lattice parameters (Å, degrees): 11.639 11.639 11.639 25.90 25.90 25.90
Sites, in units of the cell vectors:
Cs 0.000 0.000 0.000
Na 0.500 0.500 0.500
Hg 0.132 0.132 0.132
Hg 0.404 0.404 0.404
Hg 0.596 0.596 0.596
Hg 0.868 0.868 0.868
Pb 0.234 0.234 0.234
Pb 0.766 0.766 0.766

Compound: Cs2Na4HgPb2
Source: Alexandria
Functional: GGA-PBE
Structure: relaxed

Output
As for the space group: C2/m, No. 12. For the energy of formation from the pure elements, the calculation gives -0.92 eV per formula unit. The value obtained for the density of states at the Fermi level is 1.23 states/eV per cell.

Lattice parameters (Å, degrees): 8.324 8.324 5.891 96.68 96.68 62.32
Sites, in units of the cell vectors:
Cs 0.108 0.108 0.249
Cs 0.892 0.892 0.751
Na 0.149 0.536 0.255
Na 0.464 0.851 0.745
Na 0.536 0.149 0.255
Na 0.851 0.464 0.745
Hg 0.500 0.500 0.000
Pb 0.309 0.309 0.742
Pb 0.691 0.691 0.258

Compound: Cs2NaHgPb
Source: Alexandria
Functional: GGA-PBE
Structure: relaxed

Output
As for the space group: P4/mmm, No. 123. For the energy of formation from the pure elements, the calculation gives 0.21 eV per formula unit. The value obtained for the density of states at the Fermi level is 6.75 states/eV per cell.

Lattice parameters (Å, degrees): 7.188 7.188 5.939 90.00 90.00 90.00
Sites, in units of the cell vectors:
Cs 0.000 0.500 0.000
Cs 0.500 0.000 0.000
Na 0.000 0.000 0.500
Hg 0.500 0.500 0.000
Pb 0.500 0.500 0.500

Compound: Cs2NaHg6Pb
Source: Alexandria
Functional: GGA-PBE
Structure: relaxed

Output
As for the space group: Fm-3m, No. 225. For the energy of formation from the pure elements, the calculation gives -1.05 eV per formula unit. The value obtained for the density of states at the Fermi level is 6.32 states/eV per cell.

Lattice parameters (Å, degrees): 8.442 8.442 8.442 60.00 60.00 60.00
Sites, in units of the cell vectors:
Cs 0.250 0.250 0.250
Cs 0.750 0.750 0.750
Na 0.000 0.000 0.000
Hg 0.244 0.244 0.756
Hg 0.244 0.756 0.244
Hg 0.244 0.756 0.756
Hg 0.756 0.244 0.244
Hg 0.756 0.244 0.756
Hg 0.756 0.756 0.244
Pb 0.500 0.500 0.500

Compound: CsNaHg2Pd
Source: Alexandria
Functional: GGA-PBE
Structure: relaxed

Output
Its distance to the lowest polymorph of the same formula is 0 meV per atom. As for the space group: P4/mmm, No. 123. For the energy of formation from the pure elements, the calculation gives -1.09 eV per formula unit. The value obtained for the density of states at the Fermi level is 2.11 states/eV per cell.

Lattice parameters (Å, degrees): 5.491 5.491 5.485 90.00 90.00 90.00
Sites, in units of the cell vectors:
Cs 0.000 0.000 0.000
Na 0.500 0.500 0.000
Hg 0.000 0.500 0.500
Hg 0.500 0.000 0.500
Pd 0.500 0.500 0.500

Compound: CsNa2HgPd
Source: Alexandria
Functional: GGA-PBE
Structure: relaxed

Output
Its distance to the lowest polymorph of the same formula is 0 meV per atom. As for the space group: P4/mmm, No. 123. For the energy of formation from the pure elements, the calculation gives -0.57 eV per formula unit. The value obtained for the density of states at the Fermi level is 2.03 states/eV per cell.

Lattice parameters (Å, degrees): 5.628 5.628 5.514 90.00 90.00 90.00
Sites, in units of the cell vectors:
Cs 0.000 0.000 0.000
Na 0.000 0.500 0.500
Na 0.500 0.000 0.500
Hg 0.500 0.500 0.000
Pd 0.500 0.500 0.500